Sc3CdN after structural relaxation, computed with GGA-PBE.

Results
- density (g/cm³) = 4.447
- formation energy from raw total energies (eV/atom) = -0.658

Cell: 4.674 6.301 6.625 Å, 90.00 90.03 90.00°
Fractional positions:
Sc (0.000, 0.000, 0.000)
Sc (0.000, 0.500, 0.000)
Sc (0.001, 0.250, 0.467)
Sc (0.500, 0.250, 0.765)
Sc (0.500, 0.750, 0.235)
Sc (0.999, 0.750, 0.533)
Cd (0.500, 0.250, 0.212)
Cd (0.500, 0.750, 0.788)
N (0.001, 0.750, 0.228)
N (0.999, 0.250, 0.772)